# 1
This record from OQMD describes an optimized crystal structure of NdCu4Pd8. The functional is PBE.

Summary:
- Calculated total energy: -5.025 eV per atom
- Crystal system: tetragonal
- Energy of formation: -330 meV per atom

Structure (CIF):
```
data_NdCu4Pd8
_cell_length_a 8.9652
_cell_length_b 8.9652
_cell_length_c 5.0168
_cell_angle_alpha 90.00
_cell_angle_beta 90.00
_cell_angle_gamma 90.00
_space_group_name_H-M_alt 'I 4/m m m'
_space_group_IT_number 139
_space_group_name_Hall '-I 4 2'
loop_
_atom_site_label
_atom_site_type_symbol
_atom_site_fract_x
_atom_site_fract_y
_atom_site_fract_z
Nd1 Nd 0.0000 0.0000 0.0000
Cu1 Cu 0.2500 0.2500 0.2500
Pd1 Pd 0.0000 0.2189 0.5000
Pd2 Pd 0.0000 0.3485 0.0000
```

# 2
This record from OQMD describes an optimized crystal structure of Tb2TmCu4Si4. The functional is PBE.

Summary:
- Calculated total energy: -5.201 eV per atom
- Crystal system: orthorhombic

Structure (CIF):
```
data_Tb2TmCu4Si4
_cell_length_a 4.1313
_cell_length_b 6.5025
_cell_length_c 13.6492
_cell_angle_alpha 90.00
_cell_angle_beta 90.00
_cell_angle_gamma 90.00
_space_group_name_H-M_alt 'I m m m'
_space_group_IT_number 71
_space_group_name_Hall '-I 2 2'
loop_
_atom_site_label
_atom_site_type_symbol
_atom_site_fract_x
_atom_site_fract_y
_atom_site_fract_z
Tb1 Tb 0.0000 0.0000 0.1296
Tm1 Tm 0.0000 0.5000 0.0000
Cu1 Cu 0.0000 0.1905 0.3313
Si1 Si 0.0000 0.3133 0.5000
Si2 Si 0.0000 0.5000 0.2154
```

# 3
This record from OQMD describes an optimized crystal structure of BiAuBr6. The functional is PBE.

Summary:
- Calculated total energy: -2.594 eV per atom
- Crystal system: triclinic

Structure (CIF):
```
data_BiAuBr6
_cell_length_a 7.6543
_cell_length_b 10.6777
_cell_length_c 14.8332
_cell_angle_alpha 104.76
_cell_angle_beta 94.72
_cell_angle_gamma 110.71
_space_group_name_H-M_alt 'P -1'
_space_group_IT_number 2
loop_
_space_group_symop_operation_xyz
'x,y,z'
'-x,-y,-z'
loop_
_atom_site_label
_atom_site_type_symbol
_atom_site_fract_x
_atom_site_fract_y
_atom_site_fract_z
Bi1 Bi 0.0268 0.1881 0.1289
Bi2 Bi 0.4042 0.5752 0.3801
Au1 Au 0.0000 0.5000 0.0000
Au2 Au 0.2974 0.1296 0.7640
Au3 Au 0.5000 0.0000 0.5000
Br1 Br 0.0222 0.4463 0.2763
Br2 Br 0.0390 0.9711 0.2213
Br3 Br 0.2221 0.7826 0.4848
Br4 Br 0.2339 0.3977 0.0302
Br5 Br 0.2511 0.7000 0.9709
Br6 Br 0.2519 0.4533 0.5179
Br7 Br 0.2576 0.3413 0.7451
Br8 Br 0.2592 0.0645 0.0224
Br9 Br 0.2913 0.1298 0.4935
Br10 Br 0.3327 0.9132 0.7784
Br11 Br 0.3675 0.7670 0.2504
Br12 Br 0.4000 0.3156 0.2578
```

# 4
This record from OQMD describes an optimized crystal structure of LuBMo. The functional is PBE.

Summary:
- Calculated total energy: -7.118 eV per atom
- Crystal system: cubic
- Distance to the lowest polymorph of the same formula: 0.000 eV/atom

Structure (CIF):
```
data_LuBMo
_cell_length_a 5.7731
_cell_length_b 5.7731
_cell_length_c 5.7731
_cell_angle_alpha 90.00
_cell_angle_beta 90.00
_cell_angle_gamma 90.00
_space_group_name_H-M_alt 'F -4 3 m'
_space_group_IT_number 216
_space_group_name_Hall 'F -4 2 3'
loop_
_atom_site_label
_atom_site_type_symbol
_atom_site_fract_x
_atom_site_fract_y
_atom_site_fract_z
Lu1 Lu 0.0000 0.0000 0.0000
B1 B 0.2500 0.2500 0.2500
Mo1 Mo 0.0000 0.0000 0.5000
```